First-principles (PBE) data for a relaxed structure of AlIrOs4, as listed in the Alexandria database.

E_tot   -8.87 eV/atom
Volume   94 Å³ per cell
SG   F-43m (216)

```
AlIrOs4
1.0
1.020 -4.443 2.314
-1.476 -0.762 4.835
-3.788 -3.274 1.030
Os Ir Al
4 1 1
direct
0.877 0.374 0.374
0.374 0.877 0.374
0.374 0.374 0.374
0.374 0.374 0.877
0.000 0.000 0.000
0.750 0.750 0.750
```

=====

First-principles (PBE) data for a relaxed structure of KNdMnCl6, as listed in the Alexandria database.

Uncorrected formation energy   -1.56 eV/atom
Volume   536 Å³ per cell
SG   P-31c (163)

```
KNdMnCl6
1.0
-2.966 1.955 -5.582
-1.825 -5.654 2.911
-9.656 7.026 7.592
Cl Nd Mn K
12 2 2 2
direct
0.957 0.617 0.352
0.617 0.659 0.648
0.659 0.043 0.352
0.341 0.383 0.852
0.617 0.957 0.852
0.383 0.043 0.148
0.957 0.341 0.148
0.043 0.383 0.648
0.659 0.617 0.148
0.341 0.957 0.648
0.043 0.659 0.852
0.383 0.341 0.352
0.667 0.333 0.750
0.333 0.667 0.250
0.333 0.667 0.750
0.667 0.333 0.250
0.000 0.000 0.000
0.000 0.000 0.500
```

=====

First-principles (PBE) data for a relaxed structure of Pm2UC, as listed in the Alexandria database.

E_tot   -7.10 eV/atom
Volume   102 Å³ per cell
SG   R-3m (166)

```
Pm2UC
1.0
3.468 0.000 0.000
1.734 3.004 0.000
1.734 1.001 9.793
U Pm C
1 2 1
direct
0.000 0.000 0.000
0.118 0.118 0.647
0.882 0.882 0.353
0.500 0.500 0.500
```

=====

First-principles (PBE) data for a relaxed structure of Ca3Se, as listed in the Alexandria database.

Uncorrected formation energy   -0.79 eV/atom
Energy above the most stable polymorph in this dataset   0.118 eV/atom
Volume   147 Å³ per cell
SG   Pmm2 (25)

```
Ca3Se
1.0
3.806 0.000 0.000
0.000 3.892 0.000
0.000 0.000 9.918
Se Ca
1 3
direct
0.000 0.000 0.993
0.500 0.500 0.115
0.000 0.500 0.467
0.500 0.000 0.758
```

=====

First-principles (PBE) data for a relaxed structure of MnPd3Pt, as listed in the Alexandria database.

Energy above the most stable polymorph in this dataset   1.214 eV/atom
Volume   116 Å³ per cell
SG   Pm-3m (221)

```
MnPd3Pt
1.0
-1.539 2.576 -3.844
-3.017 -3.630 -1.225
-3.509 1.991 2.739
Pd Pt Mn
3 1 1
direct
0.000 0.000 0.500
0.500 0.000 0.000
0.000 0.500 0.000
0.000 0.000 0.000
0.500 0.500 0.500
```

=====

First-principles (PBE) data for a relaxed structure of Nb2Co3Si, as listed in the Alexandria database.

Uncorrected formation energy   -0.46 eV/atom
Volume   155 Å³ per cell
SG   P6_3/mmc (194)

```
Nb2Co3Si
1.0
-4.024 2.681 -0.506
0.136 -4.534 -1.748
-2.579 -2.625 6.609
Co Si Nb
6 2 4
direct
0.660 0.830 0.750
0.830 0.660 0.250
0.340 0.170 0.250
0.170 0.830 0.750
0.830 0.170 0.250
0.170 0.340 0.750
0.000 0.000 0.000
0.000 0.000 0.500
0.667 0.333 0.940
0.333 0.667 0.440
0.667 0.333 0.560
0.333 0.667 0.060
```

=====

First-principles (PBE) data for a relaxed structure of Dy2TmMg, as listed in the Alexandria database.

Energy above the most stable polymorph in this dataset   0.000 eV/atom
Volume   233 Å³ per cell
SG   C2/m (12)

```
Dy2TmMg
1.0
4.836 0.014 -1.339
-0.389 4.821 -1.339
0.156 0.169 9.916
Dy Mg Tm
4 2 2
direct
0.500 0.000 0.500
0.131 0.131 0.761
0.869 0.869 0.239
0.000 0.500 0.500
0.750 0.250 0.000
0.250 0.750 0.000
0.368 0.368 0.236
0.632 0.632 0.764
```

=====

First-principles (PBE) data for a relaxed structure of Ga2P2Pb, as listed in the Alexandria database.

Energy above the most stable polymorph in this dataset   0.000 eV/atom
Volume   102 Å³ per cell
SG   I4/mmm (139)

```
Ga2P2Pb
1.0
-4.679 0.771 0.322
-0.650 -2.209 -4.158
-3.161 -4.633 0.239
Pb P Ga
1 2 2
direct
0.000 0.000 0.000
0.750 0.250 0.500
0.250 0.750 0.500
0.360 0.360 0.280
0.640 0.640 0.720
```

=====

First-principles (PBE) data for a relaxed structure of Be2Ga2Co5Ge, as listed in the Alexandria database.

E_tot   -5.52 eV/atom
Volume   219 Å³ per cell
SG   P4/mbm (127)

```
Be2Ga2Co5Ge
1.0
-0.706 -2.485 -1.261
1.435 -4.218 7.508
-8.340 1.214 2.276
Be Co Ge Ga
4 10 2 4
direct
0.000 0.374 0.126
0.000 0.874 0.374
0.000 0.126 0.626
0.000 0.626 0.874
0.500 0.500 0.000
0.500 0.416 0.300
0.500 0.700 0.416
0.500 0.300 0.584
0.500 0.000 0.500
0.500 0.200 0.084
0.500 0.584 0.700
0.500 0.800 0.916
0.500 0.084 0.800
0.500 0.916 0.200
0.000 0.000 0.000
0.000 0.500 0.500
0.000 0.169 0.331
0.000 0.331 0.831
0.000 0.669 0.169
0.000 0.831 0.669
```

=====

First-principles (PBE) data for a relaxed structure of Tb2ErI, as listed in the Alexandria database.

Uncorrected formation energy   -0.29 eV/atom
Energy above the most stable polymorph in this dataset   0.061 eV/atom
Volume   125 Å³ per cell
SG   P4/mmm (123)

```
Tb2ErI
1.0
3.631 0.000 0.000
0.000 3.631 0.000
0.000 0.000 9.480
Tb I Er
2 1 1
direct
0.000 0.000 0.755
0.000 0.000 0.245
0.500 0.500 0.000
0.500 0.500 0.500
```

=====

First-principles (PBE) data for a relaxed structure of LaZnRe, as listed in the Alexandria database.

Energy above the most stable polymorph in this dataset   0.295 eV/atom
Volume   68 Å³ per cell
SG   F-43m (216)

```
LaZnRe
1.0
-1.705 3.540 -2.340
-3.642 2.256 1.599
0.473 4.251 1.618
Re La Zn
1 1 1
direct
0.750 0.750 0.750
0.500 0.500 0.500
0.000 0.000 0.000
```

=====

First-principles (PBE) data for a relaxed structure of Cs2CaFeBr6, as listed in the Alexandria database.

Uncorrected formation energy   -1.44 eV/atom
Volume   342 Å³ per cell
SG   Fm-3m (225)

```
Cs2CaFeBr6
1.0
7.847 0.000 0.000
0.000 7.847 0.000
3.924 3.924 5.548
Br Ca Cs Fe
6 1 2 1
direct
0.761 0.761 0.000
0.761 0.239 0.000
0.239 0.239 0.000
0.239 0.239 0.522
0.761 0.761 0.478
0.239 0.761 0.000
0.500 0.500 0.000
0.750 0.250 0.500
0.250 0.750 0.500
0.000 0.000 0.000
```

=====

Look up the volume of the second one.
536 Å³ per cell

=====

What is the formula in the fifth record?
MnPd3Pt

=====

Among the records above, which one has the lowest volume?
LaZnRe

=====

What is the formula in the fourth record?
Ca3Se